No. 1
Computed, not measured: an optimized crystal structure of Ho2Ga3Cu4Ge at the PBE level of DFT.

Computed properties:
Symmetry: P-4m2
DFT total energy (eV/atom): -4.34
Magnetic moment (μB/cell): 0.00

a b c (Å): 4.1314 4.1314 10.0335
angles (deg): 90.00 90.00 90.00
Fractional coordinates of all 10 atoms:
1 Cu 0.0000 0.5000 0.3661
2 Ga 0.0000 0.5000 0.1304
3 Ho 0.5000 0.0000 0.2470
4 Ga 0.5000 0.0000 0.8696
5 Cu 0.0000 0.0000 0.0000
6 Cu 0.5000 0.0000 0.6339
7 Ga 0.0000 0.0000 0.5000
8 Ho 0.0000 0.5000 0.7530
9 Ge 0.5000 0.5000 0.5000
10 Cu 0.5000 0.5000 0.0000



No. 2
Computed, not measured: an optimized crystal structure of Fe2Re6Ru at the PBE level of DFT.

Computed properties:
Symmetry: C2/c
DFT total energy (eV/atom): -11.01
Magnetic moment (μB/cell): 0.00

a b c (Å): 7.5346 6.7002 6.7002
angles (deg): 59.06 66.71 66.71
Fractional coordinates of all 18 atoms:
1 Re 0.4926 0.9107 0.3455
2 Re 0.7602 0.3547 0.4178
3 Re 0.2398 0.6453 0.5822
4 Fe 0.5978 0.3212 0.1586
5 Fe 0.9022 0.8414 0.6788
6 Re 0.6363 0.7046 0.0384
7 Re 0.8637 0.9616 0.2954
8 Re 0.2602 0.4178 0.3547
9 Ru 0.7500 0.1030 0.8970
10 Fe 0.0978 0.1586 0.3212
11 Re 0.9926 0.3455 0.9107
12 Re 0.3637 0.2954 0.9616
13 Re 0.5074 0.0893 0.6545
14 Fe 0.4022 0.6788 0.8414
15 Ru 0.2500 0.8970 0.1030
16 Re 0.7398 0.5822 0.6453
17 Re 0.0074 0.6545 0.0893
18 Re 0.1363 0.0384 0.7046



No. 3
Computed, not measured: an optimized crystal structure of Fe2SiHI at the PBE level of DFT.

Computed properties:
Symmetry: P4/mmm
DFT total energy (eV/atom): -4.60
Magnetic moment (μB/cell): 3.90

a b c (Å): 4.3527 3.4361 4.3527
angles (deg): 90.00 90.00 90.00
Fractional coordinates of all 5 atoms:
1 I 0.5000 0.5000 0.5000
2 Fe 0.0000 0.0000 0.5000
3 Si 0.0000 0.5000 0.0000
4 Fe 0.5000 0.0000 0.0000
5 H 0.0000 0.0000 0.0000



No. 4
Computed, not measured: an optimized crystal structure of CsTh4Cu3Te12 at the PBE level of DFT.

Computed properties:
Symmetry: Im-3
Magnetic moment (μB/cell): 0.00
Uncorrected formation energy (eV/atom): -0.634

a b c (Å): 9.7655 9.7655 9.7655
angles (deg): 109.47 109.47 109.47
Fractional coordinates of all 20 atoms:
1 Te 0.1688 0.3287 0.8401
2 Te 0.8312 0.6713 0.1599
3 Th 0.5000 0.0000 0.0000
4 Th 0.0000 0.0000 0.5000
5 Te 0.1599 0.4886 0.3287
6 Cu 0.5000 0.5000 0.0000
7 Te 0.3287 0.8401 0.1688
8 Te 0.6713 0.1599 0.8312
9 Te 0.1599 0.8312 0.6713
10 Te 0.4886 0.3287 0.1599
11 Te 0.8401 0.1688 0.3287
12 Te 0.5114 0.6713 0.8401
13 Te 0.6713 0.8401 0.5114
14 Th 0.0000 0.5000 0.0000
15 Cu 0.0000 0.5000 0.5000
16 Te 0.3287 0.1599 0.4886
17 Th 0.5000 0.5000 0.5000
18 Te 0.8401 0.5114 0.6713
19 Cu 0.5000 0.0000 0.5000
20 Cs 0.0000 0.0000 0.0000



No. 5
Computed, not measured: an optimized crystal structure of TlNi2Ag at the PBE level of DFT.

Computed properties:
Symmetry: Imm2
Distance to the lowest polymorph of the same formula (meV/atom): 56.7
Magnetic moment (μB/cell): 0.00

a b c (Å): 5.2579 5.2579 5.2579
angles (deg): 145.18 130.33 62.08
Fractional coordinates of all 4 atoms:
1 Ag 0.2389 0.7389 0.5000
2 Ni 0.7674 0.2674 0.5000
3 Ni 0.9787 0.9787 0.0000
4 Tl 0.5150 0.5150 0.0000



No. 6
Computed, not measured: an optimized crystal structure of BOs2Se at the PBE level of DFT.

Computed properties:
Symmetry: Fm-3m
Distance to the lowest polymorph of the same formula (meV/atom): 218.7
Magnetic moment (μB/cell): 0.00
Uncorrected formation energy (eV/atom): 0.832

a b c (Å): 4.1593 4.1593 4.1593
angles (deg): 60.00 60.00 60.00
Fractional coordinates of all 4 atoms:
1 Os 0.2500 0.2500 0.2500
2 Se 0.5000 0.5000 0.5000
3 Os 0.7500 0.7500 0.7500
4 B 0.0000 0.0000 0.0000



No. 7
Computed, not measured: an optimized crystal structure of Li2YNi at the PBE level of DFT.

Computed properties:
Symmetry: I-42d
Distance to the lowest polymorph of the same formula (meV/atom): 97.9
Magnetic moment (μB/cell): 0.00

a b c (Å): 3.8388 3.8388 10.7839
angles (deg): 79.75 79.75 90.00
Fractional coordinates of all 8 atoms:
1 Li 0.3750 0.8215 0.7500
2 Y 0.0000 0.0000 0.0000
3 Ni 0.5000 0.5000 0.0000
4 Li 0.8750 0.4285 0.7500
5 Ni 0.2500 0.7500 0.5000
6 Y 0.7500 0.2500 0.5000
7 Li 0.1785 0.1250 0.2500
8 Li 0.5715 0.6250 0.2500



No. 8
Computed, not measured: an optimized crystal structure of KMo2As at the PBE level of DFT.

Computed properties:
Symmetry: Cmmm
DFT total energy (eV/atom): -6.01
Magnetic moment (μB/cell): 0.00

a b c (Å): 2.9001 2.9001 10.0596
angles (deg): 90.00 90.00 111.46
Fractional coordinates of all 4 atoms:
1 K 0.5000 0.5000 0.7500
2 Mo 0.0000 0.0000 0.0552
3 As 0.5000 0.5000 0.2500
4 Mo 0.0000 0.0000 0.4448